Ti6Pd3O: optimized geometry, GGA-PBE.

Crystal system   monoclinic
Raw formation energy   -716 kJ/mol of formula units
Symmetry   P2_1/c

Structure (POSCAR):
```
Ti6Pd3O
1.0
5.385 0.000 0.000
0.000 7.326 0.000
-5.123 0.000 7.860
Ti Pd O
12 6 2
direct
0.048 0.099 0.225
0.048 0.401 0.725
0.276 0.728 0.612
0.276 0.772 0.112
0.364 0.143 0.028
0.364 0.357 0.528
0.636 0.643 0.472
0.636 0.857 0.972
0.724 0.228 0.888
0.724 0.272 0.388
0.952 0.599 0.275
0.952 0.901 0.775
0.232 0.077 0.670
0.232 0.423 0.170
0.500 0.000 0.500
0.500 0.500 0.000
0.768 0.577 0.830
0.768 0.923 0.330
0.000 0.000 0.000
0.000 0.500 0.500
```